The following is a DFT calculation (PBE-GGA) of a geometry-optimized ZrCuSiW structure.

Lattice parameters (Å, degrees): 4.4674 4.4674 4.4674 60.00 60.00 60.00
Element x y z (fractional)
Zr1 0.0000 0.0000 0.0000
Cu1 0.7500 0.7500 0.7500
Si1 0.5000 0.5000 0.5000
W1 0.2500 0.2500 0.2500

Summary:
* distance to the lowest polymorph of the same formula: 0 kJ/mol of formula units
* volume: 15.76 A^3/atom
* magnetization: 0.003 Bohr magnetons per cell
* ρ: 9.66 Mg/m³